## Cu2OsAu (PBEsol)

Data for crystalline Cu2OsAu at its relaxed geometry.

Output
**Total magnetization**: 0.0 μB/cell
**Formation energy**: 8.13 kcal/mol of atoms
**Offset from the most stable computed form**: 0.00 eV/f.u.
**Raw total energy**: -5.8496 eV/atom

Cell lengths 2.653, 2.653, 7.665 Å; angles 90.00, 90.00, 90.00 degrees
Space group P4mm (No. 99)
One atom of each set of equivalent atoms:
1 Cu 0.000 0.000 0.000
2 Cu 0.500 0.500 0.220
3 Os 0.000 0.000 0.458
4 Au 0.500 0.500 0.742

***

## ScCd2In (PBEsol)

Data for crystalline ScCd2In at its relaxed geometry.

Output
**Total magnetization**: 0.0 μB/cell
**Formation energy**: -4.63 kcal/mol of atoms
**Raw total energy**: -3.1961 eV/atom

Cell lengths 4.442, 4.442, 8.609 Å; angles 90.00, 90.00, 90.00 degrees
Space group I-4m2 (No. 119)
One atom of each set of equivalent atoms:
1 Sc 0.000 0.000 0.000
2 Cd 0.000 0.000 0.500
3 Cd 0.000 0.500 0.750
4 In 0.000 0.500 0.250

***

## KTaSb2I (PBEsol)

Data for crystalline KTaSb2I at its relaxed geometry.

Output
**Total magnetization**: 0.0 μB/cell
**Raw total energy**: -4.9782 eV/atom
**Formation energy without anion corrections**: -0.065 eV/atom

Cell lengths 5.295, 5.295, 5.953 Å; angles 90.00, 90.00, 90.00 degrees
Space group P4/mmm (No. 123)
One atom of each set of equivalent atoms:
1 K 0.000 0.000 0.000
2 Ta 0.500 0.500 0.500
3 Sb 0.000 0.500 0.500
4 I 0.500 0.500 0.000

***

## CaYGe3 (PBEsol)

Data for crystalline CaYGe3 at its relaxed geometry.

Output
**Total magnetization**: 0.0 μB/cell
**Formation energy**: 10.96 kcal/mol of atoms
**Offset from the most stable computed form**: 1.58 eV/f.u.
**Raw total energy**: -4.2794 eV/atom

Cell lengths 5.080, 5.080, 5.080 Å; angles 90.00, 90.00, 90.00 degrees
Space group Pm-3m (No. 221)
One atom of each set of equivalent atoms:
1 Ca 0.000 0.000 0.000
2 Y 0.500 0.500 0.500
3 Ge 0.000 0.000 0.500

***

## RbRuCSe2 (PBEsol)

Data for crystalline RbRuCSe2 at its relaxed geometry.

Output
**Total magnetization**: 0.6 μB/cell
**Raw total energy**: -5.2876 eV/atom
**Formation energy without anion corrections**: 0.421 eV/atom

Cell lengths 5.215, 5.215, 3.810 Å; angles 90.00, 90.00, 90.00 degrees
Space group P4/mmm (No. 123)
One atom of each set of equivalent atoms:
1 Rb 0.000 0.000 0.000
2 Ru 0.500 0.500 0.500
3 C 0.500 0.500 0.000
4 Se 0.000 0.500 0.500

***

## SbAsF8 (PBEsol)

Data for crystalline SbAsF8 at its relaxed geometry.

Output
**Total magnetization**: 0.0 μB/cell
**Raw total energy**: -4.7263 eV/atom
**Formation energy without anion corrections**: -2.218 eV/atom

Cell lengths 5.625, 8.032, 6.881 Å; angles 90.00, 96.99, 90.00 degrees
Space group P2_1/m (No. 11)
One atom of each set of equivalent atoms:
1 Sb 0.204 0.250 0.272
2 As 0.495 0.750 0.201
3 F 0.022 0.750 0.549
4 F 0.023 0.750 0.952
5 F 0.230 0.015 0.274
6 F 0.296 0.090 0.784
7 F 0.468 0.250 0.493
8 F 0.470 0.250 0.111

***

## TaPtO2 (PBEsol)

Data for crystalline TaPtO2 at its relaxed geometry.

Output
**Total magnetization**: 0.0 μB/cell
**Offset from the most stable computed form**: 0.00 eV/f.u.
**Raw total energy**: -8.6028 eV/atom
**Formation energy without anion corrections**: -1.099 eV/atom

Cell lengths 4.018, 4.018, 12.571 Å; angles 90.00, 90.00, 90.00 degrees
Space group I-42d (No. 122)
One atom of each set of equivalent atoms:
1 Ta 0.000 0.000 0.000
2 Pt 0.000 0.000 0.500
3 O 0.185 0.250 0.125

***

## AlNi6W (PBEsol)

Data for crystalline AlNi6W at its relaxed geometry.

Output
**Total magnetization**: 0.0 μB/cell
**Formation energy**: -6.34 kcal/mol of atoms
**Raw total energy**: -7.1306 eV/atom

Cell lengths 7.105, 10.051, 10.057 Å; angles 90.00, 90.00, 90.00 degrees
Space group Cmmm (No. 65)
One atom of each set of equivalent atoms:
1 Al 0.000 0.000 0.246
2 Al 0.000 0.252 0.000
3 Ni 0.000 0.000 0.000
4 Ni 0.000 0.000 0.500
5 Ni 0.000 0.251 0.251
6 Ni 0.000 0.500 0.000
7 Ni 0.000 0.500 0.500
8 Ni 0.249 0.375 0.375
9 Ni 0.250 0.124 0.125
10 W 0.000 0.252 0.500
11 W 0.000 0.500 0.243

***

## SiPt2W (PBEsol)

Data for crystalline SiPt2W at its relaxed geometry.

Output
**Total magnetization**: 0.0 μB/cell
**Raw total energy**: -8.6238 eV/atom
**Formation energy without anion corrections**: -0.253 eV/atom

Cell lengths 3.195, 4.182, 8.637 Å; angles 90.00, 90.00, 90.00 degrees
Space group Immm (No. 71)
One atom of each set of equivalent atoms:
1 Si 0.000 0.000 0.000
2 Pt 0.000 0.500 0.281
3 W 0.000 0.000 0.500

***

## HfSc3Si8 (PBEsol)

Data for crystalline HfSc3Si8 at its relaxed geometry.

Output
**Total magnetization**: 0.0 μB/cell
**Raw total energy**: -6.9970 eV/atom
**Formation energy without anion corrections**: -0.639 eV/atom

Cell lengths 3.638, 3.723, 14.222 Å; angles 90.00, 90.00, 90.00 degrees
Space group Pmm2 (No. 25)
One atom of each set of equivalent atoms:
1 Hf 0.000 0.000 0.000
2 Sc 0.000 0.500 0.500
3 Sc 0.500 0.000 0.797
4 Sc 0.500 0.500 0.296
5 Si 0.000 0.000 0.345
6 Si 0.000 0.000 0.648
7 Si 0.000 0.500 0.147
8 Si 0.000 0.500 0.839
9 Si 0.500 0.000 0.148
10 Si 0.500 0.000 0.453
11 Si 0.500 0.500 0.648
12 Si 0.500 0.500 0.951

***

## Sr3Se2Cl2O6 (PBEsol)

Data for crystalline Sr3Se2Cl2O6 at its relaxed geometry.

Output
**Total magnetization**: 0.0 μB/cell
**Raw total energy**: -5.8230 eV/atom
**Formation energy without anion corrections**: -2.074 eV/atom

Cell lengths 13.163, 5.558, 6.579 Å; angles 90.00, 96.15, 90.00 degrees
Space group C2 (No. 5)
One atom of each set of equivalent atoms:
1 Sr 0.000 0.000 0.000
2 Sr 0.213 0.545 0.214
3 Se 0.096 0.546 0.730
4 Cl 0.164 0.055 0.375
5 O 0.028 0.597 0.235
6 O 0.131 0.300 0.884
7 O 0.152 0.772 0.888

***

## TcNi6Pt (PBEsol)

Data for crystalline TcNi6Pt at its relaxed geometry.

Output
**Total magnetization**: 0.0 μB/cell
**Formation energy**: 0.01 kcal/mol of atoms
**Raw total energy**: -6.8963 eV/atom

Cell lengths 7.146, 10.090, 10.106 Å; angles 90.00, 90.00, 90.00 degrees
Space group Cmmm (No. 65)
One atom of each set of equivalent atoms:
1 Tc 0.000 0.000 0.245
2 Tc 0.000 0.248 0.500
3 Ni 0.000 0.000 0.000
4 Ni 0.000 0.000 0.500
5 Ni 0.000 0.247 0.256
6 Ni 0.000 0.500 0.000
7 Ni 0.000 0.500 0.500
8 Ni 0.245 0.124 0.128
9 Ni 0.246 0.126 0.378
10 Pt 0.000 0.252 0.000
11 Pt 0.000 0.500 0.250

***

## CrP2Au (PBEsol)

Data for crystalline CrP2Au at its relaxed geometry.

Output
**Total magnetization**: 2.7 μB/cell
**Formation energy**: 5.50 kcal/mol of atoms
**Offset from the most stable computed form**: 1.18 eV/f.u.
**Raw total energy**: -6.1987 eV/atom

Cell lengths 4.213, 4.213, 3.234 Å; angles 90.00, 90.00, 90.00 degrees
Space group P4/mmm (No. 123)
One atom of each set of equivalent atoms:
1 Cr 0.000 0.000 0.000
2 P 0.000 0.500 0.500
3 Au 0.500 0.500 0.000

***

## LiZn2Ga2 (PBEsol)

Data for crystalline LiZn2Ga2 at its relaxed geometry.

Output
**Total magnetization**: 0.0 μB/cell
**Formation energy**: -1.97 kcal/mol of atoms
**Raw total energy**: -2.4476 eV/atom

Cell lengths 3.791, 3.791, 11.725 Å; angles 90.00, 90.00, 90.00 degrees
Space group I4/mmm (No. 139)
One atom of each set of equivalent atoms:
1 Li 0.000 0.000 0.000
2 Zn 0.000 0.500 0.250
3 Ga 0.000 0.000 0.397

***

## TeOsPb2 (PBEsol)

Data for crystalline TeOsPb2 at its relaxed geometry.

Output
**Total magnetization**: 0.0 μB/cell
**Raw total energy**: -5.0273 eV/atom
**Formation energy without anion corrections**: 0.908 eV/atom

Cell lengths 4.292, 4.292, 5.011 Å; angles 90.00, 90.00, 90.00 degrees
Space group P4/mmm (No. 123)
One atom of each set of equivalent atoms:
1 Te 0.000 0.000 0.000
2 Os 0.500 0.500 0.000
3 Pb 0.000 0.500 0.500

***

## La2ZnCu (PBEsol)

Data for crystalline La2ZnCu at its relaxed geometry.

Output
**Total magnetization**: 0.0 μB/cell
**Formation energy**: -3.82 kcal/mol of atoms
**Raw total energy**: -4.3179 eV/atom

Cell lengths 3.742, 4.465, 6.096 Å; angles 90.00, 107.73, 90.00 degrees
Space group Pm (No. 6)
One atom of each set of equivalent atoms:
1 La 0.000 0.000 0.000
2 La 0.297 0.500 0.597
3 Zn 0.588 0.500 0.176
4 Cu 0.709 0.000 0.420

***

## CaPH3O4 (PBEsol)

Data for crystalline CaPH3O4 at its relaxed geometry.

Output
**Total magnetization**: 0.0 μB/cell
**Raw total energy**: -6.1988 eV/atom

Cell lengths 7.568, 6.702, 7.848 Å; angles 90.00, 110.05, 90.00 degrees
Space group P2_1/c (No. 14)
One atom of each set of equivalent atoms:
1 Ca 0.112 0.130 0.352
2 P 0.227 0.639 0.511
3 H 0.307 0.053 0.723
4 H 0.393 0.733 0.509
5 H 0.499 0.082 0.682
6 O 0.065 0.707 0.956
7 O 0.178 0.023 0.861
8 O 0.269 0.558 0.703
9 O 0.359 0.096 0.628

***

## Lu2CdTc (PBEsol)

Data for crystalline Lu2CdTc at its relaxed geometry.

Output
**Total magnetization**: 0.0 μB/cell
**Formation energy**: -3.40 kcal/mol of atoms
**Raw total energy**: -5.6995 eV/atom

Cell lengths 6.862, 6.862, 6.862 Å; angles 90.00, 90.00, 90.00 degrees
Space group Fm-3m (No. 225)
One atom of each set of equivalent atoms:
1 Lu 0.250 0.250 0.250
2 Cd 0.000 0.000 0.000
3 Tc 0.000 0.000 0.500

***

## La2YMn (PBEsol)

Data for crystalline La2YMn at its relaxed geometry.

Output
**Total magnetization**: 6.4 μB/cell
**Formation energy**: 10.13 kcal/mol of atoms
**Offset from the most stable computed form**: 0.79 eV/f.u.
**Raw total energy**: -6.3797 eV/atom

Cell lengths 6.367, 11.175, 3.453 Å; angles 90.00, 116.60, 90.00 degrees
Space group C2/m (No. 12)
One atom of each set of equivalent atoms:
1 La 0.250 0.250 0.000
2 Y 0.000 0.000 0.500
3 Mn 0.000 0.500 0.500

***

## FeTc (PBEsol)

Data for crystalline FeTc at its relaxed geometry.

Output
**Total magnetization**: 0.0 μB/cell
**Formation energy**: 0.85 kcal/mol of atoms
**Raw total energy**: -10.0781 eV/atom

Cell lengths 9.307, 2.598, 4.450 Å; angles 90.00, 117.45, 90.00 degrees
Space group C2/m (No. 12)
One atom of each set of equivalent atoms:
1 Fe 0.130 0.000 0.300
2 Tc 0.118 0.500 0.790

***

## Nd3Ga10Ni (PBEsol)

Data for crystalline Nd3Ga10Ni at its relaxed geometry.

Output
**Total magnetization**: 0.0 μB/cell
**Formation energy**: -14.12 kcal/mol of atoms
**Raw total energy**: -4.5449 eV/atom

Cell lengths 4.182, 4.219, 15.132 Å; angles 90.00, 90.00, 90.00 degrees
Space group Pmmm (No. 47)
One atom of each set of equivalent atoms:
1 Nd 0.000 0.000 0.000
2 Nd 0.000 0.500 0.251
3 Ga 0.000 0.000 0.415
4 Ga 0.500 0.000 0.158
5 Ga 0.500 0.000 0.316
6 Ga 0.500 0.500 0.080
7 Ga 0.500 0.500 0.415
8 Ni 0.000 0.500 0.500

***

## Cr2FeHg (PBEsol)

Data for crystalline Cr2FeHg at its relaxed geometry.

Output
**Total magnetization**: 2.9 μB/cell
**Formation energy**: 11.34 kcal/mol of atoms
**Raw total energy**: -7.0120 eV/atom

Cell lengths 8.712, 2.770, 4.599 Å; angles 90.00, 101.84, 90.00 degrees
Space group C2/m (No. 12)
One atom of each set of equivalent atoms:
1 Cr 0.239 0.000 0.175
2 Fe 0.000 0.500 0.000
3 Hg 0.000 0.000 0.500